# 1
DFT (SCAN) results for a crystal of Sm4Ga16Co3 relaxed with PBEsol.

Calculated values
DFT formation energy: -0.5631 eV per atom
total magnetization: 0.0 μB per cell
E: -504.18 eV for the cell shown
calculated volume: 17.15 Å³/atom

```
data_Sm4Ga16Co3
_cell_length_a 5.9768
_cell_length_b 5.9768
_cell_length_c 11.0421
_cell_angle_alpha 90.00
_cell_angle_beta 90.00
_cell_angle_gamma 90.00
_space_group_name_H-M_alt 'P 4/m m m'
_space_group_IT_number 123
_space_group_name_Hall '-P 4 2'
loop_
_atom_site_label
_atom_site_fract_x
_atom_site_fract_y
_atom_site_fract_z
Sm1 0.0000 0.5000 0.1953
Ga1 0.0000 0.0000 0.1943
Ga2 0.2194 0.2194 0.0000
Ga3 0.2508 0.2508 0.3859
Ga4 0.5000 0.5000 0.2184
Co1 0.0000 0.5000 0.5000
Co2 0.5000 0.5000 0.0000
```

***

# 2
DFT (SCAN) results for a crystal of CaHf2TcBr relaxed with PBEsol.

Calculated values
raw formation energy: 2.09 eV per atom
total magnetization: 0.6 μB per cell
E: -179.09 eV for the cell shown
calculated volume: 23.99 Å³/atom

```
data_CaHf2TcBr
_cell_length_a 5.2270
_cell_length_b 5.2270
_cell_length_c 4.3900
_cell_angle_alpha 90.00
_cell_angle_beta 90.00
_cell_angle_gamma 90.00
_space_group_name_H-M_alt 'P 4/m m m'
_space_group_IT_number 123
_space_group_name_Hall '-P 4 2'
loop_
_atom_site_label
_atom_site_fract_x
_atom_site_fract_y
_atom_site_fract_z
Ca1 0.0000 0.0000 0.0000
Hf1 0.0000 0.5000 0.0000
Tc1 0.0000 0.0000 0.5000
Br1 0.5000 0.5000 0.5000
```

***

# 3
DFT (SCAN) results for a crystal of Mg4SeBr relaxed with PBEsol.

Calculated values
raw formation energy: -0.10 eV per atom
total magnetization: 0.0 μB per cell
E: -240.25 eV for the cell shown
calculated volume: 23.07 Å³/atom

```
data_Mg4SeBr
_cell_length_a 8.2119
_cell_length_b 8.2119
_cell_length_c 8.2119
_cell_angle_alpha 90.00
_cell_angle_beta 90.00
_cell_angle_gamma 90.00
_space_group_name_H-M_alt 'F -4 3 m'
_space_group_IT_number 216
_space_group_name_Hall 'F -4 2 3'
loop_
_atom_site_label
_atom_site_fract_x
_atom_site_fract_y
_atom_site_fract_z
Mg1 0.1242 0.1242 0.1242
Se1 0.2500 0.2500 0.7500
Br1 0.0000 0.0000 0.5000
```

***

# 4
DFT (SCAN) results for a crystal of TbZnRh relaxed with PBEsol.

Calculated values
DFT formation energy: -0.8111 eV per atom
total magnetization: 0.0 μB per cell
E: -385.93 eV for the cell shown
calculated volume: 18.10 Å³/atom

```
data_TbZnRh
_cell_length_a 6.8484
_cell_length_b 3.9557
_cell_length_c 8.0190
_cell_angle_alpha 90.00
_cell_angle_beta 90.00
_cell_angle_gamma 90.00
_space_group_name_H-M_alt 'P n m a'
_space_group_IT_number 62
loop_
_space_group_symop_operation_xyz
'x,y,z'
'-x,-y,-z'
'-x+1/2,-y,z+1/2'
'x+1/2,y,-z+1/2'
'x+1/2,-y+1/2,-z+1/2'
'-x+1/2,y+1/2,z+1/2'
'-x,y+1/2,-z'
'x,-y+1/2,z'
loop_
_atom_site_label
_atom_site_fract_x
_atom_site_fract_y
_atom_site_fract_z
Tb1 0.0406 0.2500 0.1844
Zn1 0.1343 0.2500 0.5632
Rh1 0.2460 0.7500 0.3766
```

***

# 5
DFT (SCAN) results for a crystal of AlRuPt2 relaxed with PBEsol.

Calculated values
DFT formation energy: -0.5253 eV per atom
total magnetization: 0.0 μB per cell
E: -185.07 eV for the cell shown
calculated volume: 14.21 Å³/atom

```
data_AlRuPt2
_cell_length_a 2.7368
_cell_length_b 3.8307
_cell_length_c 5.4215
_cell_angle_alpha 90.00
_cell_angle_beta 90.00
_cell_angle_gamma 90.00
_space_group_name_H-M_alt 'P m m m'
_space_group_IT_number 47
loop_
_space_group_symop_operation_xyz
'x,y,z'
'-x,-y,-z'
'-x,-y,z'
'x,y,-z'
'x,-y,-z'
'-x,y,z'
'-x,y,-z'
'x,-y,z'
loop_
_atom_site_label
_atom_site_fract_x
_atom_site_fract_y
_atom_site_fract_z
Al1 0.0000 0.0000 0.0000
Ru1 0.0000 0.0000 0.5000
Pt1 0.5000 0.5000 0.2518
```

***

# 6
DFT (SCAN) results for a crystal of AgWSe2N relaxed with PBEsol.

Calculated values
raw formation energy: 1.77 eV per atom
total magnetization: 5.1 μB per cell
E: -141.64 eV for the cell shown
calculated volume: 19.01 Å³/atom
energy above the most stable polymorph in this dataset: 1512 meV per atom

```
data_AgWSe2N
_cell_length_a 5.0417
_cell_length_b 5.0417
_cell_length_c 3.7401
_cell_angle_alpha 90.00
_cell_angle_beta 90.00
_cell_angle_gamma 90.00
_space_group_name_H-M_alt 'P 4/m m m'
_space_group_IT_number 123
_space_group_name_Hall '-P 4 2'
loop_
_atom_site_label
_atom_site_fract_x
_atom_site_fract_y
_atom_site_fract_z
Ag1 0.0000 0.0000 0.0000
W1 0.5000 0.5000 0.5000
Se1 0.0000 0.5000 0.0000
N1 0.0000 0.0000 0.5000
```

***

# 7
DFT (SCAN) results for a crystal of Na3NiO relaxed with PBEsol.

Calculated values
raw formation energy: 0.65 eV per atom
total magnetization: 1.0 μB per cell
E: -31.81 eV for the cell shown
calculated volume: 25.95 Å³/atom

```
data_Na3NiO
_cell_length_a 5.0624
_cell_length_b 5.0624
_cell_length_c 5.0624
_cell_angle_alpha 90.00
_cell_angle_beta 90.00
_cell_angle_gamma 90.00
_space_group_name_H-M_alt 'P m -3 m'
_space_group_IT_number 221
_space_group_name_Hall '-P 4 2 3'
loop_
_atom_site_label
_atom_site_fract_x
_atom_site_fract_y
_atom_site_fract_z
Na1 0.0000 0.0000 0.5000
Ni1 0.0000 0.0000 0.0000
O1 0.5000 0.5000 0.5000
```

***

# 8
DFT (SCAN) results for a crystal of MnFeSn3 relaxed with PBEsol.

Calculated values
DFT formation energy: 0.6739 eV per atom
total magnetization: 3.0 μB per cell
E: -140.78 eV for the cell shown
calculated volume: 22.93 Å³/atom

```
data_MnFeSn3
_cell_length_a 4.8580
_cell_length_b 4.8580
_cell_length_c 4.8580
_cell_angle_alpha 90.00
_cell_angle_beta 90.00
_cell_angle_gamma 90.00
_space_group_name_H-M_alt 'P m -3 m'
_space_group_IT_number 221
_space_group_name_Hall '-P 4 2 3'
loop_
_atom_site_label
_atom_site_fract_x
_atom_site_fract_y
_atom_site_fract_z
Mn1 0.0000 0.0000 0.0000
Fe1 0.5000 0.5000 0.5000
Sn1 0.0000 0.0000 0.5000
```